<i>
This record from the Alexandria database describes a relaxed structure of Sr2Be2Ag. The functional is PBE.

**Mass density**: 4.11 g/cm3
**Crystal system**: tetragonal

Lattice parameters (Å, degrees): 10.283 10.283 10.283 160.44 160.44 27.79
Positions (direct):
Sr1 0.110 0.110 0.000
Sr2 0.890 0.890 0.000
Be1 0.250 0.750 0.500
Be2 0.750 0.250 0.500
Ag1 0.500 0.500 0.000

***

<ii>
This record from the Alexandria database describes a relaxed structure of Sr2Be2Ag. The functional is PBE.

**Mass density**: 3.61 g/cm3
**Crystal system**: tetragonal

Lattice parameters (Å, degrees): 8.830 8.830 3.550 90.00 90.00 90.00
Positions (direct):
Sr1 0.195 0.305 0.000
Sr2 0.305 0.805 0.000
Sr3 0.695 0.195 0.000
Sr4 0.805 0.695 0.000
Be1 0.082 0.582 0.500
Be2 0.418 0.082 0.500
Be3 0.582 0.918 0.500
Be4 0.918 0.418 0.500
Ag1 0.000 0.000 0.000
Ag2 0.500 0.500 0.000

***

Which structure is most stable? <i>, by 152 meV/atom over the runner-up.

***

<i>
This record from the Alexandria database describes a relaxed structure of TaBe2Ag. The functional is PBE.

**Mass density**: 9.57 g/cm3
**Crystal system**: orthorhombic

Lattice parameters (Å, degrees): 5.204 5.204 5.204 149.51 131.42 58.44
Positions (direct):
Ta1 0.000 0.000 0.000
Be1 0.536 0.536 0.000
Be2 0.731 0.231 0.500
Ag1 0.285 0.785 0.500

***

<ii>
This record from the Alexandria database describes a relaxed structure of TaBe2Ag. The functional is PBE.

**Mass density**: 8.99 g/cm3
**Crystal system**: tetragonal

Lattice parameters (Å, degrees): 5.307 5.307 5.307 105.65 105.65 117.42
Positions (direct):
Ta1 0.000 0.000 0.000
Ta2 0.750 0.250 0.500
Be1 0.144 0.125 0.519
Be2 0.375 0.856 0.981
Be3 0.606 0.625 0.481
Be4 0.875 0.394 0.019
Ag1 0.250 0.750 0.500
Ag2 0.500 0.500 0.000

***

<iii>
This record from the Alexandria database describes a relaxed structure of TaBe2Ag. The functional is PBE.

**Mass density**: 9.73 g/cm3
**Crystal system**: orthorhombic

Lattice parameters (Å, degrees): 3.732 5.098 5.098 32.67 90.00 90.00
Positions (direct):
Ta1 0.000 0.000 0.000
Be1 0.000 0.277 0.277
Be2 0.500 0.401 0.401
Ag1 0.500 0.692 0.692

***

<iv>
This record from the Alexandria database describes a relaxed structure of TaBe2Ag. The functional is PBE.

**Mass density**: 8.87 g/cm3
**Crystal system**: orthorhombic

Lattice parameters (Å, degrees): 5.129 5.129 5.129 149.19 122.84 66.35
Positions (direct):
Ta1 0.000 0.000 0.000
Be1 0.261 0.761 0.500
Be2 0.739 0.239 0.500
Ag1 0.500 0.500 0.000

***

Which structure is most stable? <iii>, by 144 meV/atom over the runner-up.

***

<i>
This record from the Alexandria database describes a relaxed structure of TaBe2Ag. The functional is PBE.

**Mass density**: 9.81 g/cm3
**Crystal system**: tetragonal

Lattice parameters (Å, degrees): 2.779 2.779 6.728 90.00 90.00 90.00
Positions (direct):
Ta1 0.000 0.000 0.000
Be1 0.000 0.000 0.587
Be2 0.500 0.500 0.745
Ag1 0.500 0.500 0.345

***

<ii>
This record from the Alexandria database describes a relaxed structure of TaBe2Ag. The functional is PBE.

**Mass density**: 9.48 g/cm3
**Crystal system**: monoclinic

Lattice parameters (Å, degrees): 4.905 4.905 4.580 107.24 107.24 30.83
Positions (direct):
Ta1 0.000 0.000 0.000
Be1 0.244 0.244 0.839
Be2 0.550 0.550 0.535
Ag1 0.791 0.791 0.371

***

Which structure is most stable? <i>, by 192 meV/atom over the runner-up.

***

<i>
This record from the Alexandria database describes a relaxed structure of TaBe2Ag. The functional is PBE.

**Mass density**: 9.31 g/cm3
**Crystal system**: monoclinic

Lattice parameters (Å, degrees): 3.939 3.939 5.286 101.30 101.30 43.02
Positions (direct):
Ta1 0.000 0.000 0.000
Be1 0.244 0.244 0.717
Be2 0.756 0.756 0.283
Ag1 0.500 0.500 0.500

***

<ii>
This record from the Alexandria database describes a relaxed structure of TaBe2Ag. The functional is PBE.

**Mass density**: 9.73 g/cm3
**Crystal system**: tetragonal

Lattice parameters (Å, degrees): 2.849 2.849 6.452 90.00 90.00 90.00
Positions (direct):
Ta1 0.000 0.000 0.000
Be1 0.500 0.500 0.264
Be2 0.500 0.500 0.736
Ag1 0.000 0.000 0.500

***

<iii>
This record from the Alexandria database describes a relaxed structure of TaBe2Ag. The functional is PBE.

**Mass density**: 9.31 g/cm3
**Crystal system**: tetragonal

Lattice parameters (Å, degrees): 4.738 4.738 4.738 133.66 133.66 67.62
Positions (direct):
Ta1 0.000 0.000 0.000
Be1 0.500 0.500 0.000
Be2 0.750 0.250 0.500
Ag1 0.250 0.750 0.500

***

Which structure is most stable? <ii>, by 309 meV/atom over the runner-up.

***

<i>
This record from the Alexandria database describes a relaxed structure of TaBe2Ag. The functional is PBE.

**Mass density**: 8.96 g/cm3
**Crystal system**: trigonal

Lattice parameters (Å, degrees): 8.419 8.419 8.419 19.28 19.28 19.28
Positions (direct):
Ta1 0.000 0.000 0.000
Be1 0.247 0.247 0.247
Be2 0.753 0.753 0.753
Ag1 0.500 0.500 0.500

***

<ii>
This record from the Alexandria database describes a relaxed structure of TaBe2Ag. The functional is PBE.

**Mass density**: 9.13 g/cm3
**Crystal system**: cubic

Lattice parameters (Å, degrees): 4.290 4.290 4.290 60.00 60.00 60.00
Positions (direct):
Ta1 0.000 0.000 0.000
Be1 0.500 0.500 0.500
Be2 0.750 0.750 0.750
Ag1 0.250 0.250 0.250

***

<iii>
This record from the Alexandria database describes a relaxed structure of TaBe2Ag. The functional is PBE.

**Mass density**: 9.76 g/cm3
**Crystal system**: cubic

Lattice parameters (Å, degrees): 4.196 4.196 4.196 60.00 60.00 60.00
Positions (direct):
Ta1 0.000 0.000 0.000
Be1 0.250 0.250 0.250
Be2 0.750 0.750 0.750
Ag1 0.500 0.500 0.500

***

Which structure is most stable? <iii>, by 46 meV/atom over the runner-up.

***

<i>
This record from the Alexandria database describes a relaxed structure of Tb2BeAg. The functional is PBE.

**Mass density**: 7.99 g/cm3
**Crystal system**: cubic

Lattice parameters (Å, degrees): 5.037 5.037 5.037 60.00 60.00 60.00
Positions (direct):
Tb1 0.250 0.250 0.250
Tb2 0.750 0.750 0.750
Be1 0.000 0.000 0.000
Ag1 0.500 0.500 0.500

***

<ii>
This record from the Alexandria database describes a relaxed structure of Tb2BeAg. The functional is PBE.

**Mass density**: 8.17 g/cm3
**Crystal system**: tetragonal

Lattice parameters (Å, degrees): 3.502 3.502 7.207 90.00 90.00 90.00
Positions (direct):
Tb1 0.000 0.000 0.228
Tb2 0.000 0.000 0.772
Be1 0.500 0.500 0.000
Ag1 0.500 0.500 0.500

***

Which structure is most stable? <ii>, by 53 meV/atom over the runner-up.